## Rb2PuCl5 (PBE)

Data for a geometry-optimized Rb2PuCl5 structure.

Lattice parameters (Å, degrees): 13.503 8.942 8.334 90.00 90.00 90.00
Fractional coordinates of all 32 atoms:
1 Rb 0.170 0.004 0.051
2 Rb 0.170 0.496 0.051
3 Rb 0.330 0.504 0.551
4 Rb 0.330 0.996 0.551
5 Rb 0.670 0.004 0.449
6 Rb 0.670 0.496 0.449
7 Rb 0.830 0.504 0.949
8 Rb 0.830 0.996 0.949
9 Pu 0.001 0.250 0.561
10 Pu 0.499 0.750 0.061
11 Pu 0.501 0.250 0.939
12 Pu 0.999 0.750 0.439
13 Cl 0.011 0.250 0.899
14 Cl 0.075 0.538 0.656
15 Cl 0.075 0.962 0.656
16 Cl 0.172 0.250 0.381
17 Cl 0.194 0.750 0.346
18 Cl 0.306 0.250 0.846
19 Cl 0.328 0.750 0.881
20 Cl 0.425 0.038 0.156
21 Cl 0.425 0.462 0.156
22 Cl 0.489 0.750 0.399
23 Cl 0.511 0.250 0.601
24 Cl 0.575 0.538 0.844
25 Cl 0.575 0.962 0.844
26 Cl 0.672 0.250 0.119
27 Cl 0.694 0.750 0.154
28 Cl 0.806 0.250 0.654
29 Cl 0.828 0.750 0.619
30 Cl 0.925 0.038 0.344
31 Cl 0.925 0.462 0.344
32 Cl 0.989 0.750 0.101

Space-group type: No. 62
Formation energy from raw total energies in meV per atom: -1981.1
Crystal system: orthorhombic

---

## RbPu4Cl12 (PBE)

Data for a geometry-optimized RbPu4Cl12 structure.

Lattice parameters (Å, degrees): 9.131 9.131 9.131 109.47 109.47 109.47
Fractional coordinates of all 17 atoms:
1 Rb 0.000 0.000 0.000
2 Pu 0.000 0.000 0.500
3 Pu 0.000 0.500 0.000
4 Pu 0.500 0.000 0.000
5 Pu 0.500 0.500 0.500
6 Cl 0.103 0.814 0.289
7 Cl 0.186 0.289 0.475
8 Cl 0.186 0.711 0.897
9 Cl 0.289 0.103 0.814
10 Cl 0.289 0.475 0.186
11 Cl 0.475 0.186 0.289
12 Cl 0.525 0.814 0.711
13 Cl 0.711 0.525 0.814
14 Cl 0.711 0.897 0.186
15 Cl 0.814 0.289 0.103
16 Cl 0.814 0.711 0.525
17 Cl 0.897 0.186 0.711

Space-group type: No. 204
Formation energy from raw total energies in meV per atom: -1928.2
Crystal system: cubic